# CaZn2Ni

Crystalline CaZn2Ni at its relaxed geometry (GGA-PBEsol, Alexandria).

The structure in extended XYZ format:
```
4
Lattice="-3.007 -0.029 2.891 0.187 -2.696 3.177 1.588 2.403 4.685" Properties=species:S:1:pos:R:3 pbc="T T T"
Ni -0.499 0.315 8.512
Zn 1.406 2.165 4.493
Zn -0.772 -0.689 2.199
Ca -0.653 -0.209 5.337
```

- total magnetization (μB/cell) = 0.000
- SG = R3m (160)
- raw total energy (Ry per atom) = -0.22712